[1]
Here is an optimized crystal structure of TaNbH from Alexandria via LeMat-Bulk. Energies are from PBE.

Values from the calculation:
For the uncorrected energy, the calculation gives -8.573 eV/atom. The density of states at the Fermi level is 4.11 states/eV per cell. As for the volume: 13.04 Å³ per atom.

a b c (Å): 4.778 4.786 4.795
angles (deg): 59.93 60.64 60.66
Sites, in units of the cell vectors:
Nb 0.127 0.750 0.131
Nb 0.631 0.230 0.626
H 0.259 0.373 0.994
H 0.737 0.630 0.240
Ta 0.368 0.994 0.394
Ta 0.874 0.489 0.866

=====

[2]
Here is an optimized crystal structure of NdLuNi2 from Alexandria via LeMat-Bulk. Energies are from PBE.

Values from the calculation:
For the uncorrected energy, the calculation gives -5.545 eV/atom. As for the energy of formation: -0.3323 eV per atom. The density of states at the Fermi level is 4.08 states/eV per cell. As for the volume: 19.68 Å³ per atom.

a b c (Å): 4.810 4.810 4.810
angles (deg): 60.00 60.00 60.00
Sites, in units of the cell vectors:
Ni 0.750 0.750 0.750
Ni 0.250 0.250 0.250
Lu 0.000 0.000 0.000
Nd 0.500 0.500 0.500

=====

[3]
Here is an optimized crystal structure of CaHgAs2Se from Alexandria via LeMat-Bulk. Energies are from PBE.

Values from the calculation:
The value obtained for the uncorrected formation energy is 0.492 eV/atom. For the uncorrected energy, the calculation gives -2.525 eV/atom. The density of states at the Fermi level is 5.20 states/eV per cell. As for the volume: 32.38 Å³ per atom.

a b c (Å): 5.507 5.507 5.338
angles (deg): 90.00 90.00 90.00
Site moments in Bohr magnetons follow the coordinates.
Sites, in units of the cell vectors:
Ca 0.000 0.000 0.000  0.00
As 0.500 0.000 0.000  0.08
As 0.000 0.500 0.000  0.08
Se 0.000 0.000 0.500  0.02
Hg 0.500 0.500 0.500  0.01

=====

[4]
Here is an optimized crystal structure of KNaAs4 from Alexandria via LeMat-Bulk. Energies are from PBE.

Values from the calculation:
For the uncorrected energy, the calculation gives -3.726 eV/atom. As for the energy of formation: -0.2238 eV per atom. The density of states at the Fermi level is 0.97 states/eV per cell. As for the volume: 29.20 Å³ per atom.

a b c (Å): 7.318 8.449 8.449
angles (deg): 117.66 109.76 109.76
Sites, in units of the cell vectors:
As 0.254 0.954 0.272
As 0.189 0.987 0.719
As 0.246 0.228 0.546
As 0.754 0.772 0.454
As 0.311 0.781 0.513
As 0.689 0.219 0.487
As 0.811 0.013 0.281
As 0.746 0.046 0.728
K 0.250 0.654 0.846
K 0.750 0.346 0.154
Na 0.750 0.707 0.793
Na 0.250 0.293 0.207

=====

[5]
Here is an optimized crystal structure of SrLiCdHg2 from Alexandria via LeMat-Bulk. Energies are from PBE.

Values from the calculation:
For the uncorrected energy, the calculation gives -1.360 eV/atom. As for the energy of formation: -0.3369 eV per atom. The density of states at the Fermi level is 6.10 states/eV per cell. As for the volume: 25.83 Å³ per atom.

a b c (Å): 6.338 5.752 7.084
angles (deg): 90.00 90.00 90.00
Sites, in units of the cell vectors:
Li 0.000 0.000 0.000
Li 0.000 0.500 0.000
Cd 0.614 0.750 0.000
Cd 0.386 0.250 0.000
Sr 0.241 0.250 0.500
Sr 0.759 0.750 0.500
Hg 0.246 0.750 0.736
Hg 0.754 0.250 0.264
Hg 0.754 0.250 0.736
Hg 0.246 0.750 0.264

=====

[6]
Here is an optimized crystal structure of Be3Mo from Alexandria via LeMat-Bulk. Energies are from PBE.

Values from the calculation:
For the uncorrected energy, the calculation gives -5.735 eV/atom. As for the energy of formation: -0.2324 eV per atom. The density of states at the Fermi level is 1.69 states/eV per cell. As for the volume: 10.09 Å³ per atom.

a b c (Å): 3.430 3.430 3.430
angles (deg): 90.00 90.00 90.00
Sites, in units of the cell vectors:
Be 0.000 0.500 0.500
Be 0.500 0.500 0.000
Be 0.500 0.000 0.500
Mo 0.000 0.000 0.000

=====

[7]
Here is an optimized crystal structure of Ag4Hg2Au5 from Alexandria via LeMat-Bulk. Energies are from PBE.

Values from the calculation:
For the uncorrected energy, the calculation gives -2.532 eV/atom. As for the energy of formation: 0.0491 eV per atom. The density of states at the Fermi level is 3.18 states/eV per cell. As for the volume: 19.67 Å³ per atom.

a b c (Å): 2.939 7.536 10.461
angles (deg): 70.75 98.08 90.00
Sites, in units of the cell vectors:
Ag 0.964 0.361 0.927
Ag 0.316 0.493 0.632
Ag 0.036 0.639 0.073
Ag 0.684 0.507 0.368
Au 0.500 0.000 0.000
Au 0.745 0.837 0.489
Au 0.255 0.163 0.511
Au 0.876 0.145 0.751
Au 0.124 0.855 0.249
Hg 0.110 0.248 0.221
Hg 0.890 0.752 0.779

=====

[8]
Here is an optimized crystal structure of Ba2TeIr from Alexandria via LeMat-Bulk. Energies are from PBE.

Values from the calculation:
The value obtained for the uncorrected formation energy is -0.488 eV/atom. For the uncorrected energy, the calculation gives -4.450 eV/atom. The density of states at the Fermi level is 1.99 states/eV per cell. As for the volume: 32.66 Å³ per atom.

a b c (Å): 4.165 4.165 9.559
angles (deg): 64.18 64.18 89.97
Site moments in Bohr magnetons follow the coordinates.
Sites, in units of the cell vectors:
Te 0.750 0.750 0.750  0.00
Ba 0.984 0.984 0.017  0.01
Ba 0.516 0.516 0.483  0.01
Ir 0.250 0.250 0.250  -0.35

=====

[9]
Here is an optimized crystal structure of LaMg2W from Alexandria via LeMat-Bulk. Energies are from PBE.

Values from the calculation:
For the uncorrected energy, the calculation gives -4.714 eV/atom. As for the energy of formation: 0.5537 eV per atom. The density of states at the Fermi level is 3.03 states/eV per cell. As for the volume: 22.33 Å³ per atom.

a b c (Å): 3.370 4.836 5.482
angles (deg): 90.00 90.00 90.00
Sites, in units of the cell vectors:
Mg 0.000 0.000 0.000
Mg 0.500 0.500 0.000
W 0.500 0.000 0.500
La 0.000 0.500 0.500

=====

[10]
Here is an optimized crystal structure of Ac2Tb3Sm6 from Alexandria via LeMat-Bulk. Energies are from PBE.

Values from the calculation:
For the uncorrected energy, the calculation gives -4.543 eV/atom. As for the energy of formation: 0.0413 eV per atom. The density of states at the Fermi level is 14.82 states/eV per cell. As for the volume: 35.16 Å³ per atom.

a b c (Å): 3.688 3.688 32.900
angles (deg): 86.79 86.79 60.00
Sites, in units of the cell vectors:
Tb 0.275 0.275 0.176
Tb 0.725 0.725 0.824
Tb 0.000 0.000 0.000
Sm 0.182 0.182 0.455
Sm 0.818 0.818 0.545
Sm 0.363 0.363 0.912
Sm 0.088 0.088 0.736
Sm 0.637 0.637 0.088
Sm 0.912 0.912 0.264
Ac 0.453 0.453 0.640
Ac 0.547 0.547 0.360

=====

[11]
Here is an optimized crystal structure of RbFeCl3 from Alexandria via LeMat-Bulk. Energies are from PBE.

Values from the calculation:
The value obtained for the uncorrected formation energy is -1.250 eV/atom. For the uncorrected energy, the calculation gives -4.244 eV/atom. The density of states at the Fermi level is 6.54 states/eV per cell. As for the volume: 26.58 Å³ per atom.

a b c (Å): 5.863 7.251 7.252
angles (deg): 59.55 90.00 90.00
Site moments in Bohr magnetons follow the coordinates.
Sites, in units of the cell vectors:
Cl 0.750 0.681 0.160  0.10
Cl 0.250 0.840 0.319  0.10
Cl 0.750 0.160 0.160  0.09
Cl 0.250 0.840 0.840  0.09
Cl 0.250 0.319 0.840  0.10
Cl 0.750 0.160 0.681  0.10
Fe 0.000 0.000 0.000  3.48
Fe 0.500 0.000 0.000  3.50
Rb 0.750 0.667 0.667  0.00
Rb 0.250 0.333 0.333  0.00

=====

[12]
Here is an optimized crystal structure of Cs6HfS4 from Alexandria via LeMat-Bulk. Energies are from PBE.

Values from the calculation:
The value obtained for the uncorrected formation energy is -1.091 eV/atom. For the uncorrected energy, the calculation gives -3.962 eV/atom. The density of states at the Fermi level is 9.17 states/eV per cell. As for the volume: 45.17 Å³ per atom.

a b c (Å): 8.572 11.570 11.570
angles (deg): 120.00 90.00 90.00
Sites, in units of the cell vectors:
S 0.329 0.441 0.221
S 0.829 0.559 0.779
S 0.829 0.221 0.441
S 0.447 0.333 0.667
S 0.947 0.667 0.333
S 0.829 0.221 0.779
S 0.329 0.779 0.559
S 0.329 0.779 0.221
Hf 0.231 0.667 0.333
Hf 0.731 0.333 0.667
Cs 0.639 0.537 0.074
Cs 0.139 0.463 0.537
Cs 0.639 0.926 0.463
Cs 0.639 0.537 0.463
Cs 0.469 0.732 0.866
Cs 0.969 0.268 0.134
Cs 0.969 0.866 0.732
Cs 0.139 0.463 0.926
Cs 0.469 0.134 0.866
Cs 0.469 0.134 0.268
Cs 0.139 0.074 0.537
Cs 0.969 0.866 0.134

=====

> What is the uncorrected energy in the fifth record?

-1.360 eV/atom

=====

> volume of number 7 (Ag4Hg2Au5)?

19.67 Å³ per atom

=====

> Number 6 is which compound?

Be3Mo

=====

> Look up the volume of the twelfth one.

45.17 Å³ per atom